P:
Computed, not measured: crystalline Tb2Ni2Pt at its relaxed geometry at the PBE-GGA level of DFT.

Geometry as POSCAR:
```
Tb2Ni2Pt
1.0
4.555 -2.668 0.000
4.555 2.668 0.000
-2.076 0.000 7.595
Tb Ni Pt
4 4 2
direct
0.010 0.288 0.150
0.288 0.010 0.650
0.712 0.990 0.350
0.990 0.712 0.850
0.232 0.499 0.501
0.499 0.232 0.001
0.501 0.768 0.999
0.768 0.501 0.499
0.318 0.682 0.250
0.682 0.318 0.750
```

For the total magnetization, the calculation gives 0.00 Bohr magnetons per cell. Its space group is C2/c.

Q:
Computed, not measured: crystalline Tb2Ni2Pt at its relaxed geometry at the PBE-GGA level of DFT.

Geometry as POSCAR:
```
Tb2Ni2Pt
1.0
-2.190 2.612 4.054
2.190 -2.612 4.054
2.190 2.612 -4.054
Tb Ni Pt
2 2 1
direct
0.204 0.204 0.000
0.796 0.796 0.000
0.229 0.500 0.729
0.771 0.500 0.271
0.500 0.000 0.500
```

For the total magnetization, the calculation gives 0.00 Bohr magnetons per cell. Its space group is Immm.

Looking at the structures above, which would you pick as the most stable? I would pick P.